No. 1
# NaIn9Ag3

A geometry-optimized NaIn9Ag3 structure (PBE, Alexandria via LeMat-Bulk).

Structure (POSCAR):
```
NaIn9Ag3
1.0
5.402 -0.091 2.193
2.498 7.108 1.014
-0.235 -0.045 8.330
Na In Ag
1 9 3
Cartesian
0.000 0.000 0.000 Na
5.560 5.507 8.855 In
2.104 1.464 2.682 In
3.142 1.419 7.874 In
4.522 5.553 3.663 In
4.346 2.352 4.787 In
3.318 4.619 6.750 In
6.848 4.574 5.803 In
0.816 2.398 5.734 In
1.249 3.554 0.507 In
3.950 3.509 1.603 Ag
-0.118 -0.023 4.165 Ag
2.583 -0.068 5.262 Ag
```

=====

No. 2
# Be2Ni2Sb

A geometry-optimized Be2Ni2Sb structure (PBE, Alexandria via LeMat-Bulk).

Structure (POSCAR):
```
Be2Ni2Sb
1.0
6.314 0.000 0.000
0.000 6.314 0.000
0.000 0.000 3.033
Sb Be Ni
2 4 4
Cartesian
0.000 0.000 0.000 Sb
3.157 3.157 0.000 Sb
2.404 5.561 0.000 Be
5.561 3.910 0.000 Be
3.910 0.753 0.000 Be
0.753 2.404 0.000 Be
0.951 4.108 1.516 Ni
4.108 5.363 1.516 Ni
5.363 2.206 1.516 Ni
2.206 0.951 1.516 Ni
```

=====

No. 3
# LaNd2Dy2

A geometry-optimized LaNd2Dy2 structure (PBE, Alexandria via LeMat-Bulk).

Structure (POSCAR):
```
LaNd2Dy2
1.0
-3.526 2.276 0.674
-1.317 -2.881 2.834
6.821 5.075 5.142
La Nd Dy
1 2 2
Cartesian
0.000 0.000 0.000 La
0.243 2.588 5.931 Nd
1.735 1.882 2.719 Nd
-1.517 0.679 3.172 Dy
3.494 3.791 5.478 Dy
```

=====

No. 4
# YHfZrB2

A geometry-optimized YHfZrB2 structure (PBE, Alexandria via LeMat-Bulk).

Structure (POSCAR):
```
YHfZrB2
1.0
4.579 0.000 0.000
0.000 5.002 0.000
0.000 0.000 4.579
Y B Hf Zr
1 2 1 1
Cartesian
2.289 2.501 2.289 Y
0.000 0.000 2.289 B
2.289 0.000 0.000 B
0.000 2.501 0.000 Hf
0.000 0.000 0.000 Zr
```

=====

No. 5
# CeNd2Sm2

A geometry-optimized CeNd2Sm2 structure (PBE, Alexandria via LeMat-Bulk).

Structure (POSCAR):
```
CeNd2Sm2
1.0
-0.427 -0.612 -4.578
-1.327 -4.388 0.711
-7.063 4.969 2.344
Ce Nd Sm
1 2 2
Cartesian
0.000 0.000 0.000 Ce
-4.183 0.928 -2.084 Nd
-4.634 -0.959 0.561 Nd
-6.470 2.012 0.335 Sm
-2.347 -2.043 -1.858 Sm
```

=====

No. 6
# Sc2InBr

A geometry-optimized Sc2InBr structure (PBE, Alexandria via LeMat-Bulk).

Structure (POSCAR):
```
Sc2InBr
1.0
-2.145 -2.564 -0.740
2.552 -3.332 4.146
-3.159 1.689 3.302
Br In Sc
1 1 2
Cartesian
-2.652 -0.438 1.281 Br
-0.303 -0.822 3.724 In
0.000 0.000 0.000 Sc
0.204 -2.948 1.703 Sc
```

=====

No. 7
# BeAgP4

A geometry-optimized BeAgP4 structure (PBE, Alexandria via LeMat-Bulk).

Structure (POSCAR):
```
BeAgP4
1.0
0.000 3.593 3.593
3.593 0.000 3.593
3.593 3.593 0.000
Be Ag P
1 1 4
Cartesian
0.000 0.000 0.000 Be
1.797 1.797 1.797 Ag
2.677 2.677 4.509 P
2.677 4.509 2.677 P
4.509 4.509 4.509 P
4.509 2.677 2.677 P
```

=====

No. 8
# MnRh2Se4

A geometry-optimized MnRh2Se4 structure (PBE, Alexandria via LeMat-Bulk).

Structure (POSCAR):
```
MnRh2Se4
1.0
7.484 0.000 0.000
-3.742 6.124 -2.129
0.000 -0.072 12.968
Mn Rh Se
4 8 16
Cartesian
5.613 2.275 3.253 Mn
1.871 2.238 9.737 Mn
1.871 3.814 1.103 Mn
-1.871 3.777 7.586 Mn
3.742 0.000 0.000 Rh
0.000 -0.036 6.484 Rh
-1.871 3.062 -1.064 Rh
1.871 3.026 5.420 Rh
1.871 -0.018 3.242 Rh
5.612 -0.054 9.726 Rh
3.742 -0.036 6.484 Rh
0.000 0.000 0.000 Rh
-0.199 4.666 -0.091 Se
3.542 4.631 6.393 Se
0.200 1.421 4.446 Se
3.941 1.386 10.930 Se
-1.871 4.811 3.267 Se
1.871 4.775 9.751 Se
1.871 4.646 3.498 Se
-1.871 4.610 9.982 Se
3.941 4.667 -0.091 Se
0.199 4.630 6.393 Se
5.613 1.442 0.857 Se
1.871 1.406 7.341 Se
1.871 1.277 1.088 Se
5.613 1.241 7.572 Se
3.543 1.422 4.446 Se
-0.200 1.385 10.930 Se
```

=====

No. 9
# LiPdI2

A geometry-optimized LiPdI2 structure (PBE, Alexandria via LeMat-Bulk).

Structure (POSCAR):
```
LiPdI2
1.0
4.204 0.000 0.000
2.102 3.641 0.000
2.102 1.214 6.690
I Pd Li
2 1 1
Cartesian
2.102 1.214 1.716 I
6.306 3.641 4.974 I
4.204 2.427 3.345 Pd
0.000 0.000 0.000 Li
```

=====

No. 10
# YErHf2N4

A geometry-optimized YErHf2N4 structure (PBE, Alexandria via LeMat-Bulk).

Structure (POSCAR):
```
YErHf2N4
1.0
4.700 0.002 0.000
-0.002 4.700 0.000
-2.349 -2.351 4.674
Y Er Hf N
1 1 2 4
Cartesian
2.350 0.001 2.337 Y
2.349 2.351 0.000 Er
-0.001 2.350 2.337 Hf
0.000 0.000 0.000 Hf
-0.001 2.350 0.093 N
-0.001 2.350 4.582 N
2.349 2.351 2.416 N
0.000 0.000 2.259 N
```

=====

No. 11
# NaCa2Pd

A geometry-optimized NaCa2Pd structure (PBE, Alexandria via LeMat-Bulk).

Structure (POSCAR):
```
NaCa2Pd
1.0
3.623 0.000 0.000
0.000 3.623 0.000
0.000 0.000 9.243
Na Ca Pd
1 2 1
Cartesian
1.811 1.811 4.622 Na
0.000 0.000 7.566 Ca
0.000 0.000 1.677 Ca
1.811 1.811 0.000 Pd
```

=====

No. 12
# Li3Al3ZnPd2

A geometry-optimized Li3Al3ZnPd2 structure (PBE, Alexandria via LeMat-Bulk).

Structure (POSCAR):
```
Li3Al3ZnPd2
1.0
-1.320 0.512 2.447
-5.773 -3.864 -2.305
5.421 -3.328 3.620
Li Al Zn Pd
3 3 1 2
Cartesian
-4.737 -2.473 -0.405 Li
3.169 -2.094 3.780 Li
-0.763 -1.857 1.610 Li
-0.220 -4.512 0.825 Al
2.020 -1.240 1.348 Al
-2.150 -1.439 -0.859 Al
0.000 0.000 0.000 Zn
-2.701 -3.429 0.893 Pd
1.030 -3.250 2.868 Pd
```

=====

| no. | calculated total energy (eV/atom) | M_tot (μB per formula unit) | volume (A^3/atom) |
| --- | --- | --- | --- |
| 1 | -2.662 | 0.0 | 25.03 |
| 2 | -4.644 | 0.0 | 12.09 |
| 3 | -4.632 | 0.0 | 34.22 |
| 4 | -6.462 | 0.0 | 20.97 |
| 5 | -4.582 | 0.9 | 35.83 |
| 6 | -4.558 | 0.0 | 24.60 |
| 7 | -3.935 | 0.0 | 15.46 |
| 8 | -5.815 | 5.0 | 21.19 |
| 9 | -2.991 | 0.6 | 25.60 |
| 10 | -9.778 | 0.0 | 12.91 |
| 11 | -2.984 | 0.0 | 30.33 |
| 12 | -3.646 | 0.0 | 14.57 |